No. 1
DFT (PBE) results for crystalline GaFeNi4 at its relaxed geometry.

a b c (Å): 4.8634 4.8615 7.3008
angles (deg): 100.34 100.35 117.42
Closest atoms and distances in Å follow each position.
Fractional coordinates of all 12 atoms:
Ga 0.3750 0.6250 0.2500  8 Ni 2.47, 2 Fe 2.53
Ga 0.6250 0.3750 0.7500  8 Ni 2.47, 2 Fe 2.53
Fe 0.8750 0.1250 0.2500  8 Ni 2.43-2.47, 2 Ga 2.53
Fe 0.1250 0.8750 0.7500  8 Ni 2.43-2.47, 2 Ga 2.53
Ni 0.2168 0.9723 0.4395  2 Fe 2.43-2.47, 2 Ga 2.47, 7 Ni 2.52-2.61
Ni 0.0276 0.7832 0.0605  2 Fe 2.43-2.47, 2 Ga 2.47, 7 Ni 2.52-2.61
Ni 0.2773 0.5328 0.5605  2 Fe 2.43-2.47, 2 Ga 2.47, 7 Ni 2.52-2.61
Ni 0.4672 0.7227 0.9395  2 Fe 2.43-2.47, 2 Ga 2.47, 7 Ni 2.52-2.61
Ni 0.7832 0.0277 0.5605  2 Fe 2.43-2.47, 2 Ga 2.47, 7 Ni 2.52-2.61
Ni 0.7227 0.4672 0.4395  2 Fe 2.43-2.47, 2 Ga 2.47, 7 Ni 2.52-2.61
Ni 0.9724 0.2168 0.9395  2 Fe 2.43-2.47, 2 Ga 2.47, 7 Ni 2.52-2.61
Ni 0.5328 0.2773 0.0605  2 Fe 2.43-2.47, 2 Ga 2.47, 7 Ni 2.52-2.61

Calculated values
The value obtained for the density of states at the Fermi level is 5.4 states/eV/f.u. The total energy is -34.82 eV per formula unit. The formation energy comes out at -0.03 eV per atom. The crystal system is orthorhombic. The calculation puts the energy relative to the lowest polymorph listed for this composition at 0.1214 eV per atom.



No. 2
DFT (PBE) results for crystalline GaFe2Ni3 at its relaxed geometry.

a b c (Å): 4.0556 4.0557 9.9335
angles (deg): 90.00 90.00 120.00
Closest atoms and distances in Å follow each position.
Fractional coordinates of all 12 atoms:
Ga 0.3333 0.6667 0.6575  8 Ni 2.42-2.52
Ga 0.6667 0.3333 0.3425  8 Ni 2.42-2.52
Fe 0.0000 0.0000 0.5000  8 Ni 2.49-2.52
Fe 0.3333 0.6667 0.1484  8 Ni 2.39-2.56
Fe 0.6667 0.3333 0.8516  8 Ni 2.39-2.56
Fe 0.0000 0.0000 0.0000  8 Ni 2.47-2.54, 6 Fe 2.77
Ni 0.3333 0.6667 0.4063  4 Ga 2.43-2.50, 4 Fe 2.52-2.56
Ni 0.6667 0.3333 0.0990  7 Fe 2.39-2.54, 1 Ga 2.42
Ni 0.0000 0.0000 0.7512  5 Fe 2.47-2.55, 3 Ga 2.52
Ni 0.0000 0.0000 0.2488  5 Fe 2.47-2.55, 3 Ga 2.52
Ni 0.3333 0.6667 0.9010  7 Fe 2.39-2.54, 1 Ga 2.42
Ni 0.6667 0.3333 0.5937  4 Ga 2.43-2.50, 4 Fe 2.52-2.56

Calculated values
The value obtained for the density of states at the Fermi level is 5.8 states/eV/f.u. The total energy is -37.94 eV per formula unit. The formation energy comes out at -0.11 eV per atom. The crystal system is trigonal.



No. 3
DFT (PBE) results for crystalline Ga2FeNi at its relaxed geometry.

a b c (Å): 3.9294 3.9294 4.8818
angles (deg): 66.27 66.27 60.00
Closest atoms and distances in Å follow each position.
Fractional coordinates of all 4 atoms:
Ga 0.0667 0.0667 0.7999  3 Ni 2.37, 3 Fe 2.52, 1 Ga 2.61
Ga 0.2677 0.2677 0.1968  3 Ni 2.49, 1 Ga 2.61, 3 Fe 2.72
Fe 0.4851 0.4851 0.5447  7 Ga 2.52-2.82, 1 Ni 2.53
Ni 0.6804 0.6804 0.9587  6 Ga 2.37-2.49, 1 Fe 2.53

Calculated values
The value obtained for the density of states at the Fermi level is 5.0 states/eV/f.u. The total energy is -20.30 eV per formula unit. The formation energy comes out at 0.00 eV per atom. The crystal system is trigonal.



No. 4
DFT (PBE) results for crystalline GaFeNi2 at its relaxed geometry.

a b c (Å): 3.4558 3.4558 8.6160
angles (deg): 78.43 78.43 90.00
Closest atoms and distances in Å follow each position.
Fractional coordinates of all 8 atoms:
Ni 0.6249 0.1250 0.2500  2 Fe 2.40, 2 Ga 2.40, 4 Ni 2.44
Ni 0.1251 0.6250 0.2500  2 Fe 2.40, 2 Ga 2.40, 4 Ni 2.44
Ni 0.3750 0.3751 0.7500  2 Fe 2.40, 2 Ga 2.40, 4 Ni 2.44
Ni 0.8750 0.8749 0.7500  2 Fe 2.40, 2 Ga 2.40, 4 Ni 2.44
Fe 0.5000 0.5000 0.0000  4 Ni 2.40, 4 Ga 2.44
Fe 0.2500 0.7500 0.5000  4 Ni 2.40, 4 Ga 2.44
Ga 0.0000 0.0000 0.0000  4 Ni 2.40, 4 Fe 2.44
Ga 0.7500 0.2500 0.5000  4 Ni 2.40, 4 Fe 2.44

Calculated values
The value obtained for the density of states at the Fermi level is 2.8 states/eV/f.u. The total energy is -22.25 eV per formula unit. The formation energy comes out at 0.20 eV per atom. The crystal system is tetragonal.



No. 5
DFT (PBE) results for crystalline GaFeNi4 at its relaxed geometry.

a b c (Å): 2.5981 4.4048 6.5852
angles (deg): 98.26 78.62 72.85
Closest atoms and distances in Å follow each position.
Fractional coordinates of all 6 atoms:
Ga 0.0000 0.0000 0.0000  10 Ni 2.51-2.58, 2 Ga 2.60
Fe 0.5000 0.5000 0.5000  10 Ni 2.50-2.55, 2 Fe 2.60
Ni 0.8341 0.5015 0.8302  2 Fe 2.50, 3 Ga 2.51-2.58, 7 Ni 2.51-2.60
Ni 0.3318 0.0000 0.3363  7 Ni 2.48-2.60, 3 Fe 2.50-2.55, 2 Ga 2.53
Ni 0.1659 0.4985 0.1698  2 Fe 2.50, 3 Ga 2.51-2.58, 7 Ni 2.51-2.60
Ni 0.6682 0.0000 0.6637  7 Ni 2.48-2.60, 3 Fe 2.50-2.55, 2 Ga 2.53

Calculated values
The value obtained for the density of states at the Fermi level is 5.7 states/eV/f.u. The total energy is -35.54 eV per formula unit. The formation energy comes out at -0.16 eV per atom. The crystal system is monoclinic. The calculation puts the energy relative to the lowest polymorph listed for this composition at 0.0000 eV per atom.



No. 6
DFT (PBE) results for crystalline GaFe3Ni at its relaxed geometry.

a b c (Å): 5.1658 6.5300 7.5500
angles (deg): 90.00 90.00 90.00
Closest atoms and distances in Å follow each position.
Fractional coordinates of all 20 atoms:
Ga 0.7500 0.2898 0.6527  8 Fe 2.43-2.58, 2 Ni 2.56
Ga 0.2500 0.2102 0.1527  8 Fe 2.43-2.58, 2 Ni 2.56
Ga 0.2500 0.7102 0.3473  8 Fe 2.43-2.58, 2 Ni 2.56
Ga 0.7500 0.7898 0.8473  8 Fe 2.43-2.58, 2 Ni 2.56
Fe 0.9846 0.8813 0.1272  5 Fe 2.41-2.51, 3 Ga 2.43-2.56, 1 Ni 2.67
Fe 0.4846 0.6187 0.6272  5 Fe 2.41-2.51, 3 Ga 2.43-2.56, 1 Ni 2.67
Fe 0.0154 0.6187 0.6272  5 Fe 2.41-2.51, 3 Ga 2.43-2.56, 1 Ni 2.67
Fe 0.4846 0.1187 0.8728  5 Fe 2.41-2.51, 3 Ga 2.43-2.56, 1 Ni 2.67
Fe 0.0154 0.1187 0.8728  5 Fe 2.41-2.51, 3 Ga 2.43-2.56, 1 Ni 2.67
Fe 0.5154 0.3813 0.3728  5 Fe 2.41-2.51, 3 Ga 2.43-2.56, 1 Ni 2.67
Fe 0.9846 0.3813 0.3728  5 Fe 2.41-2.51, 3 Ga 2.43-2.56, 1 Ni 2.67
Fe 0.5154 0.8813 0.1272  5 Fe 2.41-2.51, 3 Ga 2.43-2.56, 1 Ni 2.67
Fe 0.7500 0.2099 0.1400  6 Fe 2.41-2.51, 2 Ni 2.52, 2 Ga 2.58
Fe 0.2500 0.2901 0.6400  6 Fe 2.41-2.51, 2 Ni 2.52, 2 Ga 2.58
Fe 0.2500 0.7901 0.8600  6 Fe 2.41-2.51, 2 Ni 2.52, 2 Ga 2.58
Fe 0.7500 0.7099 0.3600  6 Fe 2.41-2.51, 2 Ni 2.52, 2 Ga 2.58
Ni 0.0000 0.0000 0.5000  4 Fe 2.52-2.67, 2 Ga 2.56, 2 Ni 2.58
Ni 0.5000 0.5000 0.0000  4 Fe 2.52-2.67, 2 Ga 2.56, 2 Ni 2.58
Ni 0.0000 0.5000 0.0000  4 Fe 2.52-2.67, 2 Ga 2.56, 2 Ni 2.58
Ni 0.5000 0.0000 0.5000  4 Fe 2.52-2.67, 2 Ga 2.56, 2 Ni 2.58

Calculated values
The value obtained for the density of states at the Fermi level is 4.4 states/eV/f.u. The total energy is -33.43 eV per formula unit. The formation energy comes out at 0.15 eV per atom. The crystal system is orthorhombic. The calculation puts the energy relative to the lowest polymorph listed for this composition at 0.0000 eV per atom.